# PBE InTcTe2N, relaxed
# Raw total energy (eV per atom): -5.39
# Raw formation energy (eV/f.u.): 0.74
# Magnetic moment (μB/f.u.): 0.000
# Polymorph energy (0 for the lowest one) (meV per atom): 0
# Crystal system: tetragonal
# N(E_F) (states/eV/atom): 0.568
data_InTcTe2N
_cell_length_a 5.565
_cell_length_b 5.565
_cell_length_c 3.721
_cell_angle_alpha 90.00
_cell_angle_beta 90.00
_cell_angle_gamma 90.00
_space_group_name_H-M_alt 'P 4/m m m'
_space_group_IT_number 123
_space_group_name_Hall '-P 4 2'
loop_
_atom_site_label
_atom_site_type_symbol
_atom_site_fract_x
_atom_site_fract_y
_atom_site_fract_z
In1 In 0.000 0.000 0.000
Tc1 Tc 0.500 0.500 0.500
Te1 Te 0.000 0.500 0.500
N1 N 0.500 0.500 0.000